(1)
14
Lattice="-0.513 -0.243 -5.538 2.566 -2.616 -4.191 -6.921 -10.881 -3.351" Properties=species:S:1:pos:R:3 comment="GGA-PBE Tm3FeSi3, optimized geometry" e_tot_ev_per_atom=-6.2056 dos_at_fermi_per_ev_cell=9.9 pbc="T T T"
Tm -3.794 -10.522 -9.864
Tm -1.073 -3.218 -3.216
Tm -3.219 -8.249 -7.176
Tm -1.649 -5.491 -5.904
Tm -5.542 -11.142 -6.961
Tm 0.675 -2.598 -6.119
Fe -1.329 -6.672 -8.717
Fe -3.539 -7.068 -4.364
Si -2.868 -5.377 -2.918
Si -2.000 -8.363 -10.162
Si -6.163 -10.389 -4.215
Si 1.296 -3.351 -8.865
Si -5.133 -8.403 -3.070
Si 0.266 -5.337 -10.010


(2)
4
Lattice="2.908 0.000 0.000 0.000 3.512 0.000 0.000 0.000 6.813" Properties=species:S:1:pos:R:3 comment="GGA-PBE MnAsAu2, optimized geometry" formation_enthalpy_0k_mev_per_atom=59 e_tot_ev_per_atom=-5.0346 dos_at_fermi_per_ev_cell=1.8 pbc="T T T"
As 1.454 1.756 4.814
Au 0.000 0.000 0.034
Au 1.454 1.756 1.855
Mn 0.000 0.000 3.516


(3)
19
Lattice="8.514 -0.133 -0.187 -2.239 8.215 -0.187 -2.239 -2.884 7.694" Properties=species:S:1:pos:R:3 comment="GGA-PBE BaBi12Pd6, optimized geometry" formation_enthalpy_0k_mev_per_atom=-241 e_tot_ev_per_atom=-4.4333 dos_at_fermi_per_ev_cell=8.1 pbc="T T T"
Ba 0.000 0.000 0.000
Bi 6.108 -0.577 3.660
Bi 4.508 2.920 4.112
Bi 1.711 2.204 6.162
Bi 2.324 0.106 3.207
Bi 2.324 2.993 1.158
Bi -0.473 2.278 3.207
Bi -2.073 1.552 6.658
Bi 2.017 6.821 0.661
Bi -2.073 5.774 3.660
Bi 6.108 3.645 0.661
Bi 2.017 -1.624 6.658
Bi 1.711 5.091 4.112
Pd 4.939 1.280 1.803
Pd 0.016 0.021 5.411
Pd 0.016 5.102 1.803
Pd 4.019 5.177 1.908
Pd -0.904 3.917 5.516
Pd 4.019 0.095 5.516